(1)
Density functional theory data (PBEsol) for crystalline SrZnSe4 at its relaxed geometry.

Cell and atoms, written as POSCAR:
```
SrZnSe4
1.0
-5.505 -0.503 -1.748
-1.997 -5.119 -1.851
-3.805 -2.963 3.219
Se Zn Sr
4 1 1
direct
0.121 0.626 0.626
0.626 0.626 0.121
0.626 0.121 0.626
0.626 0.626 0.626
0.000 0.000 0.000
0.250 0.250 0.250
```

Total magnetic moment ... 0.00 μB/atom
ΔE_f (raw) ... -0.26 eV/atom
V ... 137.8 Å³/f.u.
Calculated density ... 5.65 g/cm³
Symmetry ... No. 216


(2)
Density functional theory data (PBEsol) for crystalline SrZnSe at its relaxed geometry.

Cell and atoms, written as POSCAR:
```
SrZnSe
1.0
-3.985 -3.032 0.493
0.666 -4.894 0.958
-1.199 -1.865 4.517
Se Sr Zn
1 1 1
direct
0.500 0.500 0.500
0.250 0.250 0.250
0.000 0.000 0.000
```

Total magnetic moment ... 0.00 μB/atom
ΔE_f (raw) ... -0.73 eV/atom
V ... 90.1 Å³/f.u.
Calculated density ... 4.28 g/cm³
Symmetry ... No. 216


(3)
Density functional theory data (PBEsol) for crystalline SrZnSe at its relaxed geometry.

Cell and atoms, written as POSCAR:
```
SrZnSe
1.0
5.105 0.000 0.000
2.552 4.421 0.000
2.552 1.474 4.168
Se Sr Zn
1 1 1
direct
0.250 0.250 0.250
0.000 0.000 0.000
0.500 0.500 0.500
```

Total magnetic moment ... 0.00 μB/atom
ΔE_f (raw) ... -0.67 eV/atom
V ... 94.1 Å³/f.u.
Calculated density ... 4.10 g/cm³
Symmetry ... No. 216


(4)
Density functional theory data (PBEsol) for crystalline SrZnSe2 at its relaxed geometry.

Cell and atoms, written as POSCAR:
```
SrZnSe2
1.0
6.443 0.084 0.132
-2.553 5.916 -0.132
-2.553 -2.605 5.313
Se Zn Sr
4 2 2
direct
0.935 0.375 0.810
0.565 0.190 0.125
0.065 0.875 0.440
0.435 0.560 0.625
0.000 0.500 0.500
0.500 0.250 0.750
0.000 0.000 0.000
0.500 0.750 0.250
```

Total magnetic moment ... 0.00 μB/atom
ΔE_f (raw) ... -1.23 eV/atom
V ... 102.2 Å³/f.u.
Calculated density ... 5.05 g/cm³
Symmetry ... No. 122


(5)
Density functional theory data (PBEsol) for crystalline SrZrZn2Se at its relaxed geometry.

Cell and atoms, written as POSCAR:
```
SrZrZn2Se
1.0
-4.081 -2.323 1.748
-1.670 -0.632 -4.737
2.417 -4.440 -0.260
Zr Se Zn Sr
1 1 2 1
direct
0.500 0.000 0.000
0.000 0.000 0.000
0.000 0.000 0.500
0.000 0.500 0.000
0.500 0.500 0.500
```

Total magnetic moment ... 0.17 μB/atom
ΔE_f (raw) ... 0.21 eV/atom
V ... 128.4 Å³/f.u.
Calculated density ... 5.03 g/cm³
Symmetry ... No. 123


(6)
Density functional theory data (PBEsol) for crystalline SrZrSe at its relaxed geometry.

Cell and atoms, written as POSCAR:
```
SrZrSe
1.0
-2.243 2.920 0.637
0.185 -1.504 -3.416
-4.965 -4.154 1.561
Se Zr Sr
1 1 1
direct
0.000 0.000 0.025
0.667 0.333 0.263
0.333 0.667 0.712
```

Total magnetic moment ... 0.04 μB/atom
ΔE_f (raw) ... -0.78 eV/atom
V ... 80.5 Å³/f.u.
Calculated density ... 5.32 g/cm³
Symmetry ... No. 156